VCrN2F | Alexandria | PBE+U | optimized geometry; volume = 11.6 Å³/atom; VASP energy = -6.866 eV/atom; size of the total moment = 4.330 μB per formula unit
1.0
3.855 0.000 0.000
0.000 3.855 0.000
0.000 0.000 3.896
V Cr N F
1 1 2 1
direct
0.000 0.000 0.000
0.500 0.500 0.500
0.000 0.500 0.000
0.500 0.000 0.000
0.000 0.000 0.500